1.
Entry from Alexandria via LeMat-Bulk: a relaxed structure of SrZn2I (PBE-GGA).

Energy above the most stable polymorph in this dataset   162 meV per atom
Density   4.610 g/cm3
DOS at the Fermi energy   9.26 states/eV/cell
Energy relative to the elements, uncorrected   -0.093 eV/atom

Cell: 7.924 7.924 7.924 Å, 90.00 90.00 90.00°
Element x y z (fractional)
1 Sr 0.000 0.000 0.000
2 Sr 0.000 0.500 0.500
3 Sr 0.500 0.000 0.500
4 Sr 0.500 0.500 0.000
5 Zn 0.250 0.250 0.250
6 Zn 0.250 0.250 0.750
7 Zn 0.250 0.750 0.250
8 Zn 0.250 0.750 0.750
9 Zn 0.750 0.250 0.250
10 Zn 0.750 0.250 0.750
11 Zn 0.750 0.750 0.250
12 Zn 0.750 0.750 0.750
13 I 0.000 0.000 0.500
14 I 0.000 0.500 0.000
15 I 0.500 0.000 0.000
16 I 0.500 0.500 0.500



2.
Entry from Alexandria via LeMat-Bulk: a relaxed structure of Cd3As2 (PBE-GGA).

Density   6.012 g/cm3
DOS at the Fermi energy   2.73 states/eV/cell
ΔH_f (0 K)   -9.5 kJ per mole of atoms

Cell: 9.168 9.168 12.804 Å, 90.00 90.00 90.00°
Element x y z (fractional)
1 Cd 0.006 0.750 0.103
2 Cd 0.031 0.750 0.645
3 Cd 0.034 0.250 0.632
4 Cd 0.250 0.034 0.132
5 Cd 0.250 0.466 0.132
6 Cd 0.250 0.506 0.397
7 Cd 0.250 0.531 0.855
8 Cd 0.250 0.969 0.855
9 Cd 0.250 0.994 0.397
10 Cd 0.466 0.250 0.632
11 Cd 0.469 0.750 0.645
12 Cd 0.494 0.750 0.103
13 Cd 0.506 0.250 0.897
14 Cd 0.531 0.250 0.355
15 Cd 0.534 0.750 0.368
16 Cd 0.750 0.006 0.603
17 Cd 0.750 0.031 0.145
18 Cd 0.750 0.469 0.145
19 Cd 0.750 0.494 0.603
20 Cd 0.750 0.534 0.868
21 Cd 0.750 0.966 0.868
22 Cd 0.966 0.750 0.368
23 Cd 0.969 0.250 0.355
24 Cd 0.994 0.250 0.897
25 As 0.006 0.506 0.250
26 As 0.006 0.994 0.250
27 As 0.250 0.250 0.492
28 As 0.250 0.250 0.992
29 As 0.250 0.750 0.505
30 As 0.250 0.750 0.995
31 As 0.494 0.506 0.250
32 As 0.494 0.994 0.250
33 As 0.506 0.006 0.750
34 As 0.506 0.494 0.750
35 As 0.750 0.250 0.005
36 As 0.750 0.250 0.495
37 As 0.750 0.750 0.008
38 As 0.750 0.750 0.508
39 As 0.994 0.006 0.750
40 As 0.994 0.494 0.750



3.
Entry from Alexandria via LeMat-Bulk: a relaxed structure of EuPaC (PBE-GGA).

Energy above the most stable polymorph in this dataset   0 meV per atom
Density   9.537 g/cm3
DOS at the Fermi energy   3.22 states/eV/cell
ΔH_f (0 K)   -1.3 kJ per mole of atoms

Cell: 3.550 3.550 6.303 Å, 90.00 90.00 120.00°
Element x y z (fractional)
1 Eu 0.000 0.000 0.000
2 Pa 0.333 0.667 0.463
3 C 0.667 0.333 0.282



4.
Entry from Alexandria via LeMat-Bulk: a relaxed structure of Na3YS (PBE-GGA).

Energy above the most stable polymorph in this dataset   1072 meV per atom
Density   1.283 g/cm3
DOS at the Fermi energy   3.19 states/eV/cell
Energy relative to the elements, uncorrected   1.033 eV/atom

Cell: 6.265 6.265 6.265 Å, 90.00 90.00 90.00°
Element x y z (fractional)
1 Na 0.000 0.000 0.500
2 Na 0.000 0.500 0.000
3 Na 0.500 0.000 0.000
4 Y 0.000 0.000 0.000
5 S 0.500 0.500 0.500



5.
Entry from Alexandria via LeMat-Bulk: a relaxed structure of Ag2PdPt (PBE-GGA).

Energy above the most stable polymorph in this dataset   47 meV per atom
Density   12.964 g/cm3
DOS at the Fermi energy   2.16 states/eV/cell
ΔH_f (0 K)   1.4 kJ per mole of atoms

Cell: 2.812 2.812 8.381 Å, 90.00 90.00 90.00°
Element x y z (fractional)
1 Ag 0.000 0.000 0.249
2 Ag 0.000 0.000 0.751
3 Pd 0.500 0.500 0.000
4 Pt 0.500 0.500 0.500



6.
Entry from Alexandria via LeMat-Bulk: a relaxed structure of KLaZn2Ir (PBE-GGA).

Energy above the most stable polymorph in this dataset   1959 meV per atom
Density   4.476 g/cm3
DOS at the Fermi energy   8.52 states/eV/cell
ΔH_f (0 K)   170.3 kJ per mole of atoms

Cell: 5.462 5.462 6.230 Å, 90.00 90.00 90.00°
Element x y z (fractional)
1 K 0.000 0.000 0.000
2 La 0.000 0.000 0.500
3 Zn 0.000 0.500 0.500
4 Zn 0.500 0.000 0.500
5 Ir 0.500 0.500 0.000



7.
Entry from Alexandria via LeMat-Bulk: a relaxed structure of NdHo5Sc3 (PBE-GGA).

Density   5.979 g/cm3
DOS at the Fermi energy   26.94 states/eV/cell
ΔH_f (0 K)   55.1 kJ per mole of atoms

Cell: 8.640 8.640 10.372 Å, 117.11 117.11 76.38°
Element x y z (fractional)
1 Nd 0.236 0.236 0.330
2 Nd 0.764 0.764 0.670
3 Ho 0.153 0.153 0.593
4 Ho 0.165 0.634 0.263
5 Ho 0.280 0.720 0.000
6 Ho 0.301 0.301 0.988
7 Ho 0.366 0.835 0.737
8 Ho 0.634 0.165 0.263
9 Ho 0.699 0.699 0.012
10 Ho 0.720 0.280 0.000
11 Ho 0.835 0.366 0.737
12 Ho 0.847 0.847 0.407
13 Sc 0.000 0.000 0.000
14 Sc 0.027 0.027 0.763
15 Sc 0.428 0.428 0.741
16 Sc 0.500 0.500 0.500
17 Sc 0.572 0.572 0.259
18 Sc 0.973 0.973 0.237



8.
Entry from Alexandria via LeMat-Bulk: a relaxed structure of YNi3Sn (PBE-GGA).

Energy above the most stable polymorph in this dataset   0 meV per atom
Density   7.110 g/cm3
DOS at the Fermi energy   9.34 states/eV/cell
ΔH_f (0 K)   -9.8 kJ per mole of atoms

Cell: 8.732 8.732 4.448 Å, 90.00 90.00 148.10°
Element x y z (fractional)
1 Y 0.084 0.916 0.750
2 Y 0.916 0.084 0.250
3 Ni 0.041 0.482 0.250
4 Ni 0.482 0.041 0.750
5 Ni 0.500 0.500 0.000
6 Ni 0.500 0.500 0.500
7 Ni 0.518 0.959 0.250
8 Ni 0.959 0.518 0.750
9 Sn 0.356 0.644 0.750
10 Sn 0.644 0.356 0.250